An optimized crystal structure of ZrFe2Te, computed with GGA-PBE.

The structure in POSCAR format:
```
ZrFe2Te
1.0
4.1176 0.0000 0.0000
0.0000 3.3880 -0.0218
0.0000 0.9333 5.1290
Fe Zr Te
2 1 1
Direct
0.5000 0.3291 0.2058
0.0000 0.0810 0.0348
0.5000 0.7562 0.7553
0.0000 0.3336 0.5041
```

## Properties
- Space-group type: Pm (6)
- ΔE_f (raw): 0.06 eV/atom
- Spin magnetization: 4.1 μB/cell


An optimized crystal structure of Zr2FeTe, computed with GGA-PBE.

The structure in POSCAR format:
```
Zr2FeTe
1.0
-2.5678 4.4944 -0.3183
-4.6783 1.6019 1.5629
-0.1583 2.6400 3.8817
Te Zr Fe
1 2 1
Direct
0.7500 0.7500 0.7500
0.5116 0.5116 0.4883
0.9884 0.9884 0.0117
0.2500 0.2500 0.2500
```

## Properties
- Space-group type: Immm (71)
- ΔE_f (raw): -0.21 eV/atom
- Spin magnetization: 2.1 μB/cell


An optimized crystal structure of Zr2FeTe, computed with GGA-PBE.

The structure in POSCAR format:
```
Zr2FeTe
1.0
-3.2099 -2.8019 -7.4112
-5.8764 -3.2915 -5.2643
-5.3399 -0.1793 -6.6733
Te Fe Zr
1 1 2
Direct
0.7591 0.7591 0.7591
0.4985 0.4985 0.4985
0.2392 0.2392 0.2392
0.0033 0.0033 0.0033
```

## Properties
- Space-group type: R3m (160)
- ΔE_f (raw): 0.08 eV/atom
- Spin magnetization: 2.1 μB/cell


An optimized crystal structure of ZrFe2Te, computed with GGA-PBE.

The structure in POSCAR format:
```
ZrFe2Te
1.0
-1.8358 -0.4718 -2.9239
2.9249 0.2498 -1.8767
0.7612 -5.6524 0.4341
Fe Zr Te
2 1 1
Direct
0.0000 0.0000 0.5126
0.0000 0.0000 0.9874
0.5000 0.5000 0.7500
0.5000 0.5000 0.2500
```

## Properties
- Space-group type: P4/mmm (123)
- ΔE_f (raw): 0.02 eV/atom
- Spin magnetization: 3.9 μB/cell


An optimized crystal structure of ZrFeTe3, computed with GGA-PBE.

The structure in POSCAR format:
```
ZrFeTe3
1.0
5.0169 0.0000 0.0000
0.0000 5.0169 0.0000
0.0000 0.0000 5.0169
Zr Te Fe
1 3 1
Direct
0.5000 0.5000 0.5000
0.0000 0.0000 0.5000
0.0000 0.5000 0.0000
0.5000 0.0000 0.0000
0.0000 0.0000 0.0000
```

## Properties
- Space-group type: Pm-3m (221)
- ΔE_f (raw): 0.36 eV/atom
- Spin magnetization: 1.1 μB/cell


An optimized crystal structure of Zr2FeTe, computed with GGA-PBE.

The structure in POSCAR format:
```
Zr2FeTe
1.0
7.3549 -0.0057 -0.0034
6.4001 3.6241 -0.0034
6.4001 1.6836 3.2093
Fe Zr Te
1 2 1
Direct
0.2500 0.2500 0.2500
0.5190 0.5190 0.5190
0.9810 0.9810 0.9810
0.7500 0.7500 0.7500
```

## Properties
- Space-group type: R-3m (166)
- ΔE_f (raw): -0.30 eV/atom
- Spin magnetization: 0.0 μB/cell


An optimized crystal structure of Zr2FeTe, computed with GGA-PBE.

The structure in POSCAR format:
```
Zr2FeTe
1.0
-1.9595 1.4894 -4.1701
-3.6959 0.1884 3.1229
0.8313 3.2925 0.7853
Fe Zr Te
1 2 1
Direct
0.5000 0.0000 0.5000
0.0000 0.0000 0.0000
0.5000 0.5000 0.0000
0.0000 0.5000 0.5000
```

## Properties
- Space-group type: Cmmm (65)
- ΔE_f (raw): -0.23 eV/atom
- Spin magnetization: 1.9 μB/cell


An optimized crystal structure of ZrFe2Te, computed with GGA-PBE.

The structure in POSCAR format:
```
ZrFe2Te
1.0
-1.3884 4.1733 2.8463
-1.8661 -1.0469 4.7820
4.2075 -0.8686 -2.9980
Fe Zr Te
2 1 1
Direct
0.9739 0.9739 0.0000
0.7586 0.2586 0.5000
0.2509 0.7509 0.5000
0.5167 0.5167 0.0000
```

## Properties
- Space-group type: Imm2 (44)
- ΔE_f (raw): 0.04 eV/atom
- Spin magnetization: 4.1 μB/cell


Which value of ΔE_f (raw) does entry 6 give?
-0.30 eV/atom